Material: MnAu2F8
Method: DFT, GGA+U
State: relaxed

The crystal system is triclinic. Its total energy is -44.8 eV for the cell shown.

abc: 6.670 5.036 6.166
angles: 63.73 98.90 102.32
Sites, in units of the cell vectors:
Mn 0.000 0.000 0.000
Au 0.316 0.774 0.678
Au 0.684 0.226 0.322
F 0.165 0.767 0.242
F 0.260 0.327 0.896
F 0.835 0.233 0.758
F 0.413 0.224 0.452
F 0.740 0.673 0.104
F 0.056 0.831 0.776
F 0.944 0.169 0.224
F 0.587 0.776 0.548